1.
Crystalline Sr2Ga2Hg at its relaxed geometry, computed with GGA-PBE.

Unit cell a=3.9768 b=4.8463 c=7.7564 alpha=108.20 beta=90.00 gamma=90.00
Fractional positions:
Sr (0.0000, 0.6879, 0.3758)
Sr (0.0000, 0.9286, 0.8571)
Ga (0.5000, 0.3149, 0.6297)
Hg (0.5000, 0.1111, 0.2222)
Ga (0.5000, 0.4997, 0.9993)

The energy of formation comes out at -370 meV/atom. The theoretical density comes out at 6.0 Mg/m³. As for the energy: -2.314 eV/atom. The calculation puts the polymorph energy (0 for the lowest one) at 69 meV/atom.

2.
Crystalline YRe2W2 at its relaxed geometry, computed with GGA-PBE.

Unit cell a=7.8937 b=7.8937 c=2.8860 alpha=90.00 beta=90.00 gamma=90.00
Fractional positions:
W (0.6440, 0.1440, 0.0000)
W (0.8560, 0.6440, 0.0000)
Y (0.5000, 0.5000, 0.0000)
Re (0.8522, 0.3522, 0.5000)
Re (0.3522, 0.1478, 0.5000)
Y (0.0000, 0.0000, 0.0000)
Re (0.1478, 0.6478, 0.5000)
Re (0.6478, 0.8522, 0.5000)
W (0.3560, 0.8560, 0.0000)
W (0.1440, 0.3560, 0.0000)

The energy of formation comes out at 269 meV/atom. The theoretical density comes out at 15.3 Mg/m³. As for the energy: -11.184 eV/atom.

3.
Crystalline Tb4Pm5Nd4 at its relaxed geometry, computed with GGA-PBE.

Unit cell a=5.1182 b=9.6272 c=9.6272 alpha=85.95 beta=74.58 gamma=74.58
Fractional positions:
Tb (0.1542, 0.0769, 0.6148)
Tb (0.2310, 0.6148, 0.9231)
Pm (0.0000, 0.0000, 0.0000)
Tb (0.7690, 0.3852, 0.0769)
Nd (0.3830, 0.6942, 0.5398)
Pm (0.6915, 0.8480, 0.7689)
Tb (0.8458, 0.9231, 0.3852)
Nd (0.6170, 0.3058, 0.4602)
Pm (0.5395, 0.7689, 0.1520)
Pm (0.4605, 0.2311, 0.8480)
Nd (0.0772, 0.5398, 0.3058)
Pm (0.3085, 0.1520, 0.2311)
Nd (0.9228, 0.4602, 0.6942)

The energy of formation comes out at 14 meV/atom. The theoretical density comes out at 7.3 Mg/m³. As for the energy: -4.705 eV/atom.

4.
Crystalline PaInPd at its relaxed geometry, computed with GGA-PBE.

Unit cell a=3.2965 b=3.2965 c=6.3635 alpha=105.01 beta=105.01 gamma=90.00
Fractional positions:
In (0.6482, 0.6482, 0.2964)
Pa (0.3481, 0.3481, 0.6963)
Pd (0.0036, 0.0036, 0.0073)

The energy of formation comes out at -385 meV/atom. The theoretical density comes out at 11.7 Mg/m³. As for the energy: -6.195 eV/atom.

5.
Crystalline TaAsCl2 at its relaxed geometry, computed with GGA-PBE.

Unit cell a=3.4292 b=3.4292 c=8.0282 alpha=90.00 beta=90.00 gamma=90.00
Fractional positions:
As (0.5000, 0.5000, 0.7045)
Ta (0.0000, 0.0000, 0.5672)
Cl (0.5000, 0.5000, 0.3376)
Cl (0.0000, 0.0000, 0.8906)

The theoretical density comes out at 5.7 Mg/m³. As for the energy: -5.208 eV/atom. The calculation puts the energy relative to the elements, uncorrected at -0.159 eV per atom. The calculation puts the polymorph energy (0 for the lowest one) at 476 meV/atom.

6.
Crystalline Cu2P at its relaxed geometry, computed with GGA-PBE.

Unit cell a=2.7340 b=2.7340 c=5.8687 alpha=90.00 beta=90.00 gamma=120.00
Fractional positions:
Cu (0.3333, 0.6667, 0.3271)
P (0.0000, 0.0000, 0.0000)
Cu (0.6667, 0.3333, 0.6729)

The energy of formation comes out at 142 meV/atom. The theoretical density comes out at 6.9 Mg/m³. As for the energy: -4.392 eV/atom.